(1)
A geometry-optimized NaPb2IO6 structure. Source: Alexandria via LeMat-Bulk, functional GGA-PBE.

Properties
The crystal system is monoclinic. The calculation puts the total moment at 0.0000 μB per atom. The raw formation energy comes out at -960 meV per atom. For the uncorrected energy, the calculation gives -4.963 eV per atom. The density of states at the Fermi level comes out at 0.00 states/eV/cell. As for the energy above the most stable polymorph in this dataset: 0 meV per atom.

Cell: 5.7185 6.2484 10.1191 Å, 90.00 124.01 90.00°
Closest atoms and distances in Å follow each position.
Fractional positions:
Na 0.0000 0.0000 0.0000  6 O 2.39-2.46
Na 0.0000 0.5000 0.5000  6 O 2.39-2.46
Pb 0.2278 0.0558 0.7350  6 O 2.53-2.82
Pb 0.2278 0.4442 0.2350  6 O 2.53-2.82
Pb 0.7722 0.5558 0.7650  6 O 2.53-2.82
Pb 0.7722 0.9442 0.2650  6 O 2.53-2.82
I 0.5000 0.0000 0.5000  6 O 1.90-1.92
I 0.5000 0.5000 0.0000  6 O 1.90-1.92
O 0.2082 0.1731 0.4850  1 I 1.92
O 0.2082 0.3269 0.9850  1 I 1.92
O 0.2623 0.7433 0.9462  1 I 1.90
O 0.2623 0.7567 0.4462  1 I 1.90
O 0.3450 0.0489 0.2783  1 I 1.92
O 0.3450 0.4511 0.7783  1 I 1.92
O 0.6550 0.5489 0.2217  1 I 1.92
O 0.6550 0.9511 0.7217  1 I 1.92
O 0.7377 0.2433 0.5538  1 I 1.90
O 0.7377 0.2567 0.0538  1 I 1.90
O 0.7918 0.6731 0.0150  1 I 1.92
O 0.7918 0.8269 0.5150  1 I 1.92

(2)
A geometry-optimized Tb2Dy5Ho3 structure. Source: Alexandria via LeMat-Bulk, functional GGA-PBE.

Properties
The crystal system is orthorhombic. The calculation puts the total moment at 0.0000 μB per atom. For the uncorrected energy, the calculation gives -4.472 eV per atom. As for the formation energy: 0.1287 eV/atom. The density of states at the Fermi level comes out at 28.32 states/eV/cell. As for the energy above the most stable polymorph in this dataset: 0 meV per atom.

Cell: 14.6522 14.6522 14.6522 Å, 153.98 38.16 152.58°
Closest atoms and distances in Å follow each position.
Fractional positions:
Tb 0.0966 0.2198 0.3164  4 Ho 3.26-3.49, 5 Dy 3.50-3.57
Tb 0.4034 0.7198 0.1232  4 Ho 3.26-3.49, 5 Dy 3.50-3.57
Tb 0.5966 0.2802 0.8768  4 Ho 3.26-3.49, 5 Dy 3.50-3.57
Tb 0.9034 0.7802 0.6836  4 Ho 3.26-3.49, 5 Dy 3.50-3.57
Dy 0.0659 0.7500 0.3159  6 Dy 3.43-3.57, 2 Ho 3.44, 2 Tb 3.51
Dy 0.2097 0.9602 0.1699  6 Dy 3.43-3.57, 1 Tb 3.57, 1 Ho 3.62
Dy 0.2500 0.2500 0.0000  6 Ho 3.30-3.56, 2 Dy 3.47, 4 Tb 3.50
Dy 0.2903 0.4602 0.7505  6 Dy 3.43-3.57, 1 Tb 3.57, 1 Ho 3.62
Dy 0.4341 0.7500 0.6841  6 Dy 3.43-3.57, 2 Ho 3.44, 2 Tb 3.51
Dy 0.5659 0.2500 0.3159  6 Dy 3.43-3.57, 2 Ho 3.44, 2 Tb 3.51
Dy 0.7097 0.5398 0.2495  6 Dy 3.43-3.57, 1 Tb 3.57, 1 Ho 3.62
Dy 0.7500 0.7500 0.0000  6 Ho 3.30-3.56, 2 Dy 3.47, 4 Tb 3.50
Dy 0.7903 0.0398 0.8301  6 Dy 3.43-3.57, 1 Tb 3.57, 1 Ho 3.62
Dy 0.9341 0.2500 0.6841  6 Dy 3.43-3.57, 2 Ho 3.44, 2 Tb 3.51
Ho 0.0914 0.7256 0.8170  4 Tb 3.26-3.49, 2 Ho 3.41, 5 Dy 3.44-3.62
Ho 0.2500 0.7500 0.5000  2 Dy 3.30, 6 Ho 3.41-3.47, 4 Tb 3.69
Ho 0.4086 0.2256 0.6341  4 Tb 3.26-3.49, 2 Ho 3.41, 5 Dy 3.44-3.62
Ho 0.5914 0.7744 0.3659  4 Tb 3.26-3.49, 2 Ho 3.41, 5 Dy 3.44-3.62
Ho 0.7500 0.2500 0.5000  2 Dy 3.30, 6 Ho 3.41-3.47, 4 Tb 3.69
Ho 0.9086 0.2744 0.1830  4 Tb 3.26-3.49, 2 Ho 3.41, 5 Dy 3.44-3.62

(3)
A geometry-optimized NbTcSb2I structure. Source: Alexandria via LeMat-Bulk, functional GGA-PBE.

Properties
The crystal system is tetragonal. The calculation puts the total moment at 0.7530 μB per atom. The raw formation energy comes out at 1064 meV per atom. For the uncorrected energy, the calculation gives -4.982 eV per atom. The density of states at the Fermi level comes out at 4.58 states/eV/cell. As for the energy above the most stable polymorph in this dataset: 0 meV per atom.

Cell: 5.0489 5.0489 5.6971 Å, 90.00 90.00 90.00°
Closest atoms and distances in Å follow each position.
Fractional positions:
Nb 0.0000 0.0000 0.0000  4 I 3.57, 8 Sb 3.81
Tc 0.5000 0.5000 0.5000  4 Sb 2.52
Sb 0.0000 0.5000 0.5000  2 Tc 2.52
Sb 0.5000 0.0000 0.5000  2 Tc 2.52
I 0.5000 0.5000 0.0000  2 Tc 2.85

(4)
A geometry-optimized SnI2N structure. Source: Alexandria via LeMat-Bulk, functional GGA-PBE.

Properties
The crystal system is cubic. The calculation puts the total moment at 0.7500 μB per atom. The raw formation energy comes out at 1000 meV per atom. For the uncorrected energy, the calculation gives -2.857 eV per atom. The density of states at the Fermi level comes out at 0.00 states/eV/cell. As for the energy above the most stable polymorph in this dataset: 604 meV per atom.

Cell: 5.5631 5.5631 5.5631 Å, 60.00 60.00 60.00°
Closest atoms and distances in Å follow each position.
Fractional positions:
Sn 0.0000 0.0000 0.0000  8 I 3.41
I 0.2500 0.2500 0.2500  4 Sn 3.41, 4 N 3.41
I 0.7500 0.7500 0.7500  4 N 3.41, 4 Sn 3.41
N 0.5000 0.5000 0.5000  8 I 3.41

(5)
A geometry-optimized Tb3Ho5Mg structure. Source: Alexandria via LeMat-Bulk, functional GGA-PBE.

Properties
The crystal system is monoclinic. The calculation puts the total moment at 0.0000 μB per atom. For the uncorrected energy, the calculation gives -3.749 eV per atom. As for the formation energy: 0.5145 eV/atom. The density of states at the Fermi level comes out at 24.00 states/eV/cell.

Cell: 9.3744 9.3744 9.6954 Å, 120.14 120.14 74.86°
Closest atoms and distances in Å follow each position.
Fractional positions:
Tb 0.0000 0.0000 0.0000  2 Tb 3.01, 2 Mg 3.15
Tb 0.0121 0.0121 0.3224  1 Tb 3.01, 5 Ho 3.18-3.31
Tb 0.4821 0.4821 0.1430  2 Ho 3.13-3.28, 2 Tb 3.14-3.30, 1 Mg 3.27
Tb 0.5000 0.5000 0.5000  4 Ho 2.95-3.09, 2 Mg 3.23
Tb 0.5179 0.5179 0.8570  2 Ho 3.13-3.28, 2 Tb 3.14-3.30, 1 Mg 3.27
Tb 0.9879 0.9879 0.6776  1 Tb 3.01, 5 Ho 3.18-3.31
Ho 0.0896 0.5970 0.7484  3 Ho 3.29-3.65, 2 Tb 3.47-3.57
Ho 0.2265 0.2265 0.7455  3 Tb 3.18-3.28, 3 Ho 3.24-3.36, 1 Mg 3.31
Ho 0.2415 0.7585 0.5000  1 Tb 2.95
Ho 0.2804 0.2804 0.4697  3 Tb 3.09-3.28, 1 Mg 3.23, 3 Ho 3.24-3.29
Ho 0.4030 0.9104 0.2516  3 Ho 3.29-3.65, 2 Tb 3.47-3.57
Ho 0.5970 0.0896 0.7484  3 Ho 3.29-3.65, 2 Tb 3.47-3.57
Ho 0.7196 0.7196 0.5303  3 Tb 3.09-3.28, 1 Mg 3.23, 3 Ho 3.24-3.29
Ho 0.7585 0.2415 0.5000  1 Tb 2.95
Ho 0.7735 0.7735 0.2545  3 Tb 3.18-3.28, 3 Ho 3.24-3.36, 1 Mg 3.31
Ho 0.9104 0.4030 0.2516  3 Ho 3.29-3.65, 2 Tb 3.47-3.57
Mg 0.2488 0.2488 0.1078  4 Tb 3.15-3.46, 2 Ho 3.23-3.31
Mg 0.7512 0.7512 0.8922  4 Tb 3.15-3.46, 2 Ho 3.23-3.31

(6)
A geometry-optimized RbNa2PrI6 structure. Source: Alexandria via LeMat-Bulk, functional GGA-PBE.

Properties
The crystal system is trigonal. The calculation puts the total moment at 0.0000 μB per atom. The raw formation energy comes out at -1362 meV per atom. For the uncorrected energy, the calculation gives -3.130 eV per atom. The density of states at the Fermi level comes out at 0.00 states/eV/cell.

Cell: 9.0258 9.0258 9.0258 Å, 54.85 54.85 54.85°
Closest atoms and distances in Å follow each position.
Fractional positions:
Rb 0.0000 0.0000 0.0000  6 I 3.61-3.82
Na 0.1950 0.1950 0.1950  6 I 3.21-3.32
Na 0.7087 0.7087 0.7087  6 I 3.29-3.34
Pr 0.5185 0.5185 0.5185  6 I 3.16-3.18
I 0.1234 0.4428 0.7784  1 Pr 3.16, 2 Na 3.29-3.32
I 0.3532 0.9258 0.5460  1 Pr 3.18, 2 Na 3.21-3.34
I 0.4428 0.7784 0.1234  1 Pr 3.16, 2 Na 3.29-3.32
I 0.5460 0.3532 0.9258  1 Pr 3.18, 2 Na 3.21-3.34
I 0.7784 0.1234 0.4428  1 Pr 3.16, 2 Na 3.29-3.32
I 0.9258 0.5460 0.3532  1 Pr 3.18, 2 Na 3.21-3.34

(7)
A geometry-optimized Fe3BTe structure. Source: Alexandria via LeMat-Bulk, functional GGA-PBE.

Properties
The crystal system is cubic. The calculation puts the total moment at 1.4330 μB per atom. The raw formation energy comes out at 1978 meV per atom. For the uncorrected energy, the calculation gives -5.063 eV per atom. The density of states at the Fermi level comes out at 3.90 states/eV/cell. As for the energy above the most stable polymorph in this dataset: 1704 meV per atom.

Cell: 4.7087 4.7087 4.7087 Å, 90.00 90.00 90.00°
Closest atoms and distances in Å follow each position.
Fractional positions:
Fe 0.0000 0.0000 0.5000  2 Te 2.35
Fe 0.0000 0.5000 0.0000  2 Te 2.35
Fe 0.5000 0.0000 0.0000  2 Te 2.35
B 0.5000 0.5000 0.5000  12 Fe 3.33
Te 0.0000 0.0000 0.0000  6 Fe 2.35

(8)
A geometry-optimized Na2TlHg2Pd5 structure. Source: Alexandria via LeMat-Bulk, functional GGA-PBE.

Properties
The crystal system is tetragonal. The calculation puts the total moment at 0.0000 μB per atom. For the uncorrected energy, the calculation gives -3.335 eV per atom. As for the formation energy: -0.1773 eV/atom. The density of states at the Fermi level comes out at 4.76 states/eV/cell.

Cell: 9.7799 9.7799 4.1396 Å, 90.00 90.00 90.00°
Closest atoms and distances in Å follow each position.
Fractional positions:
Na 0.1696 0.3304 0.0000  3 Hg 2.78-2.95
Na 0.3304 0.8304 0.0000  3 Hg 2.78-2.95
Na 0.6696 0.1696 0.0000  3 Hg 2.78-2.95
Na 0.8304 0.6696 0.0000  3 Hg 2.78-2.95
Tl 0.0000 0.0000 0.0000  8 Pd 2.89
Tl 0.5000 0.5000 0.0000  8 Pd 2.89
Hg 0.1291 0.6291 0.0000  6 Pd 2.73-2.76, 3 Na 2.78-2.95
Hg 0.3709 0.1291 0.0000  6 Pd 2.73-2.76, 3 Na 2.78-2.95
Hg 0.6291 0.8709 0.0000  6 Pd 2.73-2.76, 3 Na 2.78-2.95
Hg 0.8709 0.3709 0.0000  6 Pd 2.73-2.76, 3 Na 2.78-2.95
Pd 0.0000 0.5000 0.5000  4 Hg 2.73, 4 Pd 3.04
Pd 0.0642 0.8037 0.5000  2 Hg 2.76, 3 Pd 2.86-3.04, 2 Tl 2.89
Pd 0.1963 0.0642 0.5000  2 Hg 2.76, 3 Pd 2.86-3.04, 2 Tl 2.89
Pd 0.3037 0.5642 0.5000  2 Hg 2.76, 3 Pd 2.86-3.04, 2 Tl 2.89
Pd 0.4358 0.3037 0.5000  2 Hg 2.76, 3 Pd 2.86-3.04, 2 Tl 2.89
Pd 0.5000 0.0000 0.5000  4 Hg 2.73, 4 Pd 3.04
Pd 0.5642 0.6963 0.5000  2 Hg 2.76, 3 Pd 2.86-3.04, 2 Tl 2.89
Pd 0.6963 0.4358 0.5000  2 Hg 2.76, 3 Pd 2.86-3.04, 2 Tl 2.89
Pd 0.8037 0.9358 0.5000  2 Hg 2.76, 3 Pd 2.86-3.04, 2 Tl 2.89
Pd 0.9358 0.1963 0.5000  2 Hg 2.76, 3 Pd 2.86-3.04, 2 Tl 2.89